# HfV2AuC

A geometry-optimized HfV2AuC structure (PBE, Alexandria via LeMat-Bulk).

a b c (Å): 4.0458 4.0458 4.4540
angles (deg): 90.00 90.00 90.00
Atoms (fractional coordinates):
Hf: 0.0000 0.0000 0.5000
C: 0.0000 0.0000 0.0000
Au: 0.5000 0.5000 0.5000
V: 0.0000 0.5000 0.0000
V: 0.5000 0.0000 0.0000

Properties
Its density of states at the Fermi level is 3.0 states/eV/cell. Its total magnetization is 1.4 Bohr magnetons per cell. As for the crystal system: tetragonal. The formation energy is -35.49 kJ per mole of atoms. The density is 11.15 Mg/m³.

***

# Hf2ZrAuC

A geometry-optimized Hf2ZrAuC structure (PBE, Alexandria via LeMat-Bulk).

a b c (Å): 4.4673 4.4673 4.5150
angles (deg): 90.00 90.00 90.00
Atoms (fractional coordinates):
Hf: 0.0000 0.5000 0.0000
Hf: 0.5000 0.0000 0.0000
C: 0.0000 0.0000 0.0000
Au: 0.5000 0.5000 0.5000
Zr: 0.0000 0.0000 0.5000

Properties
Its density of states at the Fermi level is 2.2 states/eV/cell. Its total magnetization is 0.0 Bohr magnetons per cell. As for the crystal system: tetragonal. The formation energy is -55.93 kJ per mole of atoms. The density is 12.11 Mg/m³.

***

# HfZrAuC

A geometry-optimized HfZrAuC structure (PBE, Alexandria via LeMat-Bulk).

a b c (Å): 3.3119 3.3108 7.3840
angles (deg): 90.00 102.98 120.00
Atoms (fractional coordinates):
Hf: 0.0887 0.9425 0.0451
Zr: 0.5162 0.1561 0.6872
Au: 0.9641 0.3797 0.3616
C: 0.3090 0.5526 0.8758

Properties
Its density of states at the Fermi level is 4.6 states/eV/cell. Its total magnetization is 0.0 Bohr magnetons per cell. As for the crystal system: monoclinic. The formation energy is -64.36 kJ per mole of atoms. The density is 11.74 Mg/m³.

***

Repeat the second record exactly.
# Hf2ZrAuC

A geometry-optimized Hf2ZrAuC structure (PBE, Alexandria via LeMat-Bulk).

a b c (Å): 4.4673 4.4673 4.5150
angles (deg): 90.00 90.00 90.00
Atoms (fractional coordinates):
Hf: 0.0000 0.5000 0.0000
Hf: 0.5000 0.0000 0.0000
C: 0.0000 0.0000 0.0000
Au: 0.5000 0.5000 0.5000
Zr: 0.0000 0.0000 0.5000

Properties
Its density of states at the Fermi level is 2.2 states/eV/cell. Its total magnetization is 0.0 Bohr magnetons per cell. As for the crystal system: tetragonal. The formation energy is -55.93 kJ per mole of atoms. The density is 12.11 Mg/m³.